Computed, not measured: an optimized crystal structure of LiCd2Ru at the PBE level of DFT.

Values from the calculation:
- symmetry = No. 119
- formation energy from the elements (meV/atom) = 137
- DOS(E_F) (states/eV per cell) = 1.98

CIF file:
```
data_LiCd2Ru
_cell_length_a 5.074
_cell_length_b 5.074
_cell_length_c 5.074
_cell_angle_alpha 133.08
_cell_angle_beta 133.08
_cell_angle_gamma 68.53
_symmetry_space_group_name_H-M 'P 1'
_symmetry_Int_Tables_number 1
_symmetry_space_group_name_Hall 'P 1'
loop_
_atom_site_label
_atom_site_fract_x
_atom_site_fract_y
_atom_site_fract_z
Cd1 0.000 0.000 0.000
Cd2 0.250 0.750 0.500
Li1 0.500 0.500 0.000
Ru1 0.750 0.250 0.500
```

=====

Computed, not measured: an optimized crystal structure of LiCd2Ru at the PBE level of DFT.

Values from the calculation:
- symmetry = No. 216
- formation energy from the elements (meV/atom) = 192
- DOS(E_F) (states/eV per cell) = 2.54

CIF file:
```
data_LiCd2Ru
_cell_length_a 4.573
_cell_length_b 4.573
_cell_length_c 4.573
_cell_angle_alpha 60.00
_cell_angle_beta 60.00
_cell_angle_gamma 60.00
_symmetry_space_group_name_H-M 'P 1'
_symmetry_Int_Tables_number 1
_symmetry_space_group_name_Hall 'P 1'
loop_
_atom_site_label
_atom_site_fract_x
_atom_site_fract_y
_atom_site_fract_z
Cd1 0.000 0.000 0.000
Cd2 0.250 0.250 0.250
Li1 0.500 0.500 0.500
Ru1 0.750 0.750 0.750
```

=====

Computed, not measured: an optimized crystal structure of Li2CdRu at the PBE level of DFT.

Values from the calculation:
- symmetry = No. 71
- formation energy from the elements (meV/atom) = 121
- DOS(E_F) (states/eV per cell) = 2.25

CIF file:
```
data_Li2CdRu
_cell_length_a 5.414
_cell_length_b 5.414
_cell_length_c 5.414
_cell_angle_alpha 149.32
_cell_angle_beta 127.74
_cell_angle_gamma 61.83
_symmetry_space_group_name_H-M 'P 1'
_symmetry_Int_Tables_number 1
_symmetry_space_group_name_Hall 'P 1'
loop_
_atom_site_label
_atom_site_fract_x
_atom_site_fract_y
_atom_site_fract_z
Cd1 0.250 0.750 0.500
Li1 0.992 0.992 0.000
Li2 0.508 0.508 0.000
Ru1 0.750 0.250 0.500
```

=====

Computed, not measured: an optimized crystal structure of LiCd2Ru at the PBE level of DFT.

Values from the calculation:
- symmetry = No. 8
- formation energy from the elements (meV/atom) = 104
- DOS(E_F) (states/eV per cell) = 1.80

CIF file:
```
data_LiCd2Ru
_cell_length_a 5.388
_cell_length_b 5.388
_cell_length_c 4.886
_cell_angle_alpha 69.48
_cell_angle_beta 69.48
_cell_angle_gamma 31.79
_symmetry_space_group_name_H-M 'P 1'
_symmetry_Int_Tables_number 1
_symmetry_space_group_name_Hall 'P 1'
loop_
_atom_site_label
_atom_site_fract_x
_atom_site_fract_y
_atom_site_fract_z
Cd1 0.993 0.993 0.082
Cd2 0.752 0.752 0.681
Li1 0.508 0.508 0.556
Ru1 0.247 0.247 0.181
```

=====

Q: Look up the DOS(E_F) of the first one.
A: 1.98 states/eV per cell

=====

Q: Among the records above, which one has the lowest formation energy from the elements?
A: number 4